# Cs2RbCuF6

A relaxed structure of Cs2RbCuF6 (PBEsol, Alexandria via LeMat-Bulk).

Output
The energy relative to the elements, uncorrected comes out at -23.13 eV/f.u. The total magnetization comes out at 2.0 μB/cell. Its uncorrected energy is -41.9 eV/cell. Its space group is Fm-3m, No. 225.

Cell: 6.405 6.405 6.405 Å, 60.00 60.00 60.00°
Site moments in Bohr magnetons follow the coordinates.
Positions (direct):
Cs 0.250 0.250 0.250  0.00
Cs 0.750 0.750 0.750  0.00
Cu 0.500 0.500 0.500  1.09
Rb 0.000 0.000 0.000  0.02
F 0.711 0.289 0.711  0.14
F 0.711 0.711 0.289  0.14
F 0.711 0.289 0.289  0.14
F 0.289 0.711 0.711  0.14
F 0.289 0.711 0.289  0.14
F 0.289 0.289 0.711  0.14

---

# Cs2Cu3SnF12

A relaxed structure of Cs2Cu3SnF12 (PBEsol, Alexandria via LeMat-Bulk).

Output
The energy relative to the elements, uncorrected comes out at -38.33 eV/f.u. The total magnetization comes out at 2.6 μB/cell. Its uncorrected energy is -80.6 eV/cell. Its space group is R-3m, No. 166.

Cell: 7.065 7.065 7.910 Å, 63.48 63.48 60.00°
Site moments in Bohr magnetons follow the coordinates.
Positions (direct):
Cs 0.107 0.107 0.679  0.00
Cs 0.893 0.893 0.321  0.00
Cu 0.000 0.500 0.000  0.64
Cu 0.500 0.000 0.000  0.64
Cu 0.500 0.500 0.000  0.64
Sn 0.500 0.500 0.500  0.00
F 0.184 0.184 0.051  0.10
F 0.580 0.184 0.051  0.10
F 0.184 0.580 0.051  0.10
F 0.816 0.816 0.949  0.10
F 0.420 0.816 0.949  0.10
F 0.816 0.420 0.949  0.10
F 0.582 0.582 0.662  0.00
F 0.175 0.582 0.662  0.00
F 0.582 0.175 0.662  0.00
F 0.418 0.418 0.338  0.00
F 0.825 0.418 0.338  0.00
F 0.418 0.825 0.338  0.00

---

# Cs2TiCu3F12

A relaxed structure of Cs2TiCu3F12 (PBEsol, Alexandria via LeMat-Bulk).

Output
The energy relative to the elements, uncorrected comes out at -42.98 eV/f.u. The total magnetization comes out at 5.9 μB/cell. Its uncorrected energy is -178.6 eV/cell. Its space group is P2_1/c, No. 14.

Cell: 6.930 7.765 10.336 Å, 82.53 90.00 90.00°
Site moments in Bohr magnetons follow the coordinates.
Positions (direct):
Cs 0.505 0.731 0.618  0.00
Cs 0.995 0.231 0.118  0.00
Cs 0.495 0.269 0.382  0.00
Cs 0.005 0.769 0.882  0.00
Ti 0.500 0.500 0.000  -0.01
Ti 0.000 0.000 0.500  -0.01
Cu 0.500 0.000 0.000  0.72
Cu 0.000 0.500 0.500  0.72
Cu 0.282 0.246 0.739  0.71
Cu 0.218 0.746 0.239  0.71
Cu 0.718 0.754 0.261  0.71
Cu 0.782 0.254 0.761  0.71
F 0.338 0.037 0.850  0.13
F 0.162 0.537 0.350  0.13
F 0.662 0.963 0.150  0.13
F 0.838 0.463 0.650  0.13
F 0.774 0.573 0.401  0.12
F 0.726 0.073 0.901  0.12
F 0.226 0.427 0.599  0.12
F 0.274 0.927 0.099  0.12
F 0.541 0.255 0.675  0.12
F 0.959 0.755 0.175  0.12
F 0.459 0.745 0.325  0.12
F 0.041 0.245 0.825  0.12
F 0.143 0.983 0.348  0.00
F 0.357 0.483 0.848  0.00
F 0.857 0.017 0.652  0.00
F 0.643 0.517 0.152  0.00
F 0.727 0.437 0.919  0.00
F 0.773 0.937 0.419  0.00
F 0.273 0.563 0.081  0.00
F 0.227 0.063 0.581  0.00
F 0.445 0.267 0.063  0.00
F 0.055 0.767 0.563  0.00
F 0.555 0.733 0.937  0.00
F 0.945 0.233 0.437  0.00

---

# Cs2FeCu2

A relaxed structure of Cs2FeCu2 (PBEsol, Alexandria via LeMat-Bulk).

Output
The total magnetization comes out at 3.0 μB/cell. The value obtained for the formation energy is 0.98 eV/atom. Its uncorrected energy is -14.6 eV/cell. Its space group is I4/mmm, No. 139.

Cell: 5.911 5.911 5.911 Å, 104.36 112.09 112.09°
Site moments in Bohr magnetons follow the coordinates.
Positions (direct):
Cs 0.500 0.750 0.250  -0.01
Cs 0.500 0.250 0.750  -0.01
Fe 0.000 0.000 0.000  3.00
Cu 0.000 0.664 0.664  0.06
Cu 0.000 0.336 0.336  0.06

---

# Cs2GaCu

A relaxed structure of Cs2GaCu (PBEsol, Alexandria via LeMat-Bulk).

Output
The total magnetization comes out at 1.1 μB/cell. The value obtained for the formation energy is 0.58 eV/atom. Its uncorrected energy is -7.2 eV/cell. Its space group is Fm-3m, No. 225.

Cell: 5.959 5.959 5.959 Å, 60.00 60.00 60.00°
Site moments in Bohr magnetons follow the coordinates.
Positions (direct):
Cs 0.250 0.250 0.250  0.04
Cs 0.750 0.750 0.750  0.04
Cu 0.000 0.000 0.000  0.01
Ga 0.500 0.500 0.500  0.22

---

# CsGa3Cu

A relaxed structure of CsGa3Cu (PBEsol, Alexandria via LeMat-Bulk).

Output
The total magnetization comes out at 0.0 μB/cell. The value obtained for the formation energy is 0.21 eV/atom. Its uncorrected energy is -14.2 eV/cell. Its space group is Pm-3m, No. 221.

Cell: 4.904 4.904 4.904 Å, 90.00 90.00 90.00°
Positions (direct):
Cs 0.500 0.500 0.500
Cu 0.000 0.000 0.000
Ga 0.000 0.500 0.000
Ga 0.000 0.000 0.500
Ga 0.500 0.000 0.000